ScSiAg2, relaxed, DFT GGA-PBEsol; VASP energy = -18.99 eV per cell; magnetization = 0.00 μB/f.u.; space-group type = R3m; raw formation energy = -5 meV per atom
1.0
-0.465 -0.152 2.921
-1.632 -2.200 1.127
6.740 -5.829 2.271
Ag Si Sc
2 1 1
direct
0.996 0.996 0.013 Ag
0.748 0.748 0.755 Ag
0.252 0.252 0.244 Si
0.504 0.504 0.488 Sc

ScSi2Ag, relaxed, DFT GGA-PBEsol; VASP energy = -21.26 eV per cell; magnetization = 0.00 μB/f.u.; space-group type = R3m; raw formation energy = 39 meV per atom
1.0
2.985 0.000 0.000
1.492 2.585 0.000
1.492 0.862 8.613
Si Sc Ag
2 1 1
direct
0.746 0.746 0.761 Si
0.006 0.006 0.981 Si
0.255 0.255 0.234 Sc
0.492 0.492 0.523 Ag

ScSi2Ag, relaxed, DFT GGA-PBEsol; VASP energy = -22.62 eV per cell; magnetization = 0.00 μB/f.u.; space-group type = Imm2; raw formation energy = -302 meV per atom
1.0
3.788 0.000 0.000
0.000 3.869 0.000
-1.894 -1.934 4.398
Si Ag Sc
2 1 1
direct
0.004 0.004 0.007 Si
0.742 0.242 0.483 Si
0.501 0.501 0.002 Ag
0.254 0.754 0.507 Sc